! KBa2NaAg PBE-GGA relaxed; values from VASP
&SYSTEM
  ibrav = 0, nat = 5, ntyp = 4
/
ATOMIC_SPECIES
K 39.10 K.upf
Ba 137.33 Ba.upf
Na 22.99 Na.upf
Ag 107.87 Ag.upf
CELL_PARAMETERS angstrom
6.547 0.000 0.000
0.000 6.547 0.000
0.000 0.000 6.557
ATOMIC_POSITIONS crystal
K 0.000 0.000 0.000
Ba 0.000 0.500 0.500
Ba 0.500 0.000 0.500
Na 0.500 0.500 0.000
Ag 0.000 0.000 0.500
! energy relative to the elements = 0.01 eV/atom
! E above lowest polymorph = 21.9 meV per atom
! electronic total energy = -1.811 eV/atom
! space group = P4/mmm, No. 123
! total magnetization = 0.00 μB/cell